The following is a PBE calculation of CrB3As after structural relaxation, from the Alexandria database.

Unit cell a=3.921 b=3.921 c=3.921 alpha=90.00 beta=90.00 gamma=90.00
Space group Pm-3m (No. 221)
Inequivalent atoms, fractional coordinates:
1 Cr 0.000 0.000 0.000
2 B 0.000 0.000 0.500
3 As 0.500 0.500 0.500

Values from the calculation:
The value obtained for the energy of formation is 1372 meV/atom. The crystal system is cubic.

***

The following is a PBE calculation of CdH4Pd7 after structural relaxation, from the Alexandria database.

Unit cell a=11.613 b=5.025 c=4.860 alpha=90.00 beta=90.00 gamma=90.00
Space group Pmn2_1 (No. 31)
Inequivalent atoms, fractional coordinates:
1 Cd 0.000 0.163 0.000
2 H 0.123 0.656 0.648
3 H 0.249 0.172 0.642
4 Pd 0.000 0.832 0.498
5 Pd 0.121 0.662 0.016
6 Pd 0.122 0.327 0.498
7 Pd 0.248 0.171 0.014

Values from the calculation:
The crystal system is orthorhombic. The calculation puts the total energy at -4.383 eV per atom.

***

The following is a PBE calculation of Ca2TmPb after structural relaxation, from the Alexandria database.

Unit cell a=3.6250 b=3.6250 c=37.3477 alpha=90.00 beta=90.00 gamma=120.00
Space group R-3m (No. 166, hexagonal axes)
Inequivalent atoms, fractional coordinates:
1 Ca 0.0000 0.0000 0.0871
2 Tm 0.0000 0.0000 0.5000
3 Pb 0.0000 0.0000 0.0000

Values from the calculation:
The value obtained for the energy of formation is 81 meV/atom. The crystal system is trigonal.

***

The following is a PBE calculation of GdTmFe4 after structural relaxation, from the Alexandria database.

Unit cell a=7.248 b=7.248 c=7.248 alpha=90.00 beta=90.00 gamma=90.00
Space group F-43m (No. 216)
Inequivalent atoms, fractional coordinates:
1 Gd 0.000 0.000 0.000
2 Tm 0.250 0.250 0.250
3 Fe 0.125 0.125 0.625

Values from the calculation:
The value obtained for the energy of formation is -109 meV/atom. The crystal system is cubic.

***

The following is a PBE calculation of NiI after structural relaxation, from the Alexandria database.

Unit cell a=3.9793 b=3.9793 c=22.3612 alpha=90.00 beta=90.00 gamma=120.00
Space group R-3m (No. 166, hexagonal axes)
Inequivalent atoms, fractional coordinates:
1 Ni 0.0000 0.0000 0.1353
2 I 0.0000 0.0000 0.2504

Values from the calculation:
The crystal system is trigonal. The value obtained for the raw formation energy is 13.1 kJ/mol of formula units.

***

The following is a PBE calculation of Cs3Dy3ErTe8 after structural relaxation, from the Alexandria database.

Unit cell a=8.8384 b=8.8384 c=27.6790 alpha=90.00 beta=90.00 gamma=120.00
Space group R-3m (No. 166, hexagonal axes)
Inequivalent atoms, fractional coordinates:
1 Cs 0.0000 0.5000 0.0000
2 Dy 0.0000 0.5000 0.5000
3 Er 0.0000 0.0000 0.5000
4 Te 0.0000 0.0000 0.2302
5 Te 0.9998 0.4999 0.2298

Values from the calculation:
The crystal system is trigonal. The value obtained for the raw formation energy is -1914.0 kJ/mol of formula units.

***

The following is a PBE calculation of TaTcH3 after structural relaxation, from the Alexandria database.

Unit cell a=3.522 b=3.522 c=3.522 alpha=90.00 beta=90.00 gamma=90.00
Space group Pm-3m (No. 221)
Inequivalent atoms, fractional coordinates:
1 Ta 0.000 0.000 0.000
2 Tc 0.500 0.500 0.500
3 H 0.000 0.000 0.500

Values from the calculation:
The crystal system is cubic. The calculation puts the total energy at -5.943 eV per atom.

***

The following is a PBE calculation of TcHgGeOsW after structural relaxation, from the Alexandria database.

Unit cell a=2.959 b=3.827 c=14.846 alpha=90.00 beta=90.00 gamma=90.00
Space group Imm2 (No. 44)
Inequivalent atoms, fractional coordinates:
1 Tc 0.000 0.000 0.000
2 Hg 0.000 0.000 0.635
3 Ge 0.000 0.000 0.438
4 Os 0.000 0.000 0.260
5 W 0.000 0.000 0.835

Values from the calculation:
The value obtained for the energy of formation is 310 meV/atom. The crystal system is orthorhombic.

***

The following is a PBE calculation of Ac2CdNi after structural relaxation, from the Alexandria database.

Unit cell a=4.103 b=15.253 c=7.877 alpha=90.00 beta=90.00 gamma=90.00
Space group Cmcm (No. 63)
Inequivalent atoms, fractional coordinates:
1 Ac 0.000 0.140 0.001
2 Cd 0.000 0.493 0.250
3 Ni 0.000 0.299 0.250

Values from the calculation:
The value obtained for the energy of formation is -246 meV/atom. The crystal system is orthorhombic.

***

The following is a PBE calculation of Zr2TiPd3 after structural relaxation, from the Alexandria database.

Unit cell a=4.520 b=7.126 c=13.212 alpha=90.00 beta=90.00 gamma=90.00
Space group Imma (No. 74)
Inequivalent atoms, fractional coordinates:
1 Zr 0.000 0.250 0.020
2 Zr 0.000 0.250 0.321
3 Ti 0.000 0.250 0.659
4 Pd 0.000 0.000 0.500
5 Pd 0.000 0.046 0.830

Values from the calculation:
The value obtained for the energy of formation is -572 meV/atom. The crystal system is orthorhombic.

***

The following is a PBE calculation of BeHg2Te after structural relaxation, from the Alexandria database.

Unit cell a=3.632 b=3.706 c=15.626 alpha=90.00 beta=90.00 gamma=90.00
Space group Immm (No. 71)
Inequivalent atoms, fractional coordinates:
1 Be 0.000 0.000 0.000
2 Hg 0.000 0.500 0.310
3 Te 0.000 0.000 0.500

Values from the calculation:
The crystal system is orthorhombic. The value obtained for the raw formation energy is 90.1 kJ/mol of formula units.

***

The following is a PBE calculation of Nd4Sm2Hg3O2 after structural relaxation, from the Alexandria database.

Unit cell a=4.915 b=4.915 c=24.086 alpha=90.00 beta=90.00 gamma=90.00
Space group I4/mmm (No. 139)
Inequivalent atoms, fractional coordinates:
1 Nd 0.000 0.500 0.086
2 Sm 0.000 0.000 0.202
3 Hg 0.000 0.000 0.328
4 Hg 0.000 0.000 0.500
5 O 0.000 0.000 0.105

Values from the calculation:
The crystal system is tetragonal. The value obtained for the raw formation energy is -1290.4 kJ/mol of formula units.